This record from Alexandria describes CsScS2Cl after structural relaxation. The functional is PBE.

Lattice parameters (Å, degrees): 5.014 5.014 5.440 90.00 90.00 90.00
Fractional positions:
Cs (0.500, 0.500, 0.500)
Sc (0.000, 0.000, 0.000)
S (0.000, 0.500, 0.000)
S (0.500, 0.000, 0.000)
Cl (0.000, 0.000, 0.500)

space group	P4/mmm
uncorrected formation energy	-1470	meV per atom
calculated volume	136.7	Å³ per cell
E	-4.93	eV/atom



This record from Alexandria describes Ta2HAu after structural relaxation. The functional is PBE.

Lattice parameters (Å, degrees): 3.260 3.260 6.717 75.96 75.96 60.00
Fractional positions:
H (0.000, 0.000, 0.000)
Au (0.500, 0.500, 0.500)
Ta (0.281, 0.281, 0.156)
Ta (0.719, 0.719, 0.844)

space group	R-3m
relative energy among the computed polymorphs	0.0302	eV per atom
calculated volume	59.3	Å³ per cell
E	-7.42	eV/atom



This record from Alexandria describes La3SnC after structural relaxation. The functional is PBE.

Lattice parameters (Å, degrees): 4.645 4.645 17.317 90.00 90.00 120.00
Fractional positions:
C (0.333, 0.667, 0.750)
C (0.667, 0.333, 0.250)
Sn (0.000, 0.000, 0.000)
Sn (0.000, 0.000, 0.500)
La (0.000, 0.000, 0.250)
La (0.000, 0.000, 0.750)
La (0.333, 0.667, 0.898)
La (0.333, 0.667, 0.602)
La (0.667, 0.333, 0.398)
La (0.667, 0.333, 0.102)

space group	P6_3/mmc
energy of formation from the pure elements	-0.7	eV per formula unit
calculated volume	323.6	Å³ per cell
E	-5.75	eV/atom



This record from Alexandria describes IrRhW2 after structural relaxation. The functional is PBE.

Lattice parameters (Å, degrees): 6.188 4.815 2.770 89.92 63.55 120.96
Fractional positions:
Ir (0.000, 0.500, 0.500)
Rh (0.500, 0.500, 0.000)
W (0.000, 0.000, 0.000)
W (0.500, 0.000, 0.500)

space group	C2/m
relative energy among the computed polymorphs	0.0086	eV per atom
energy of formation from the pure elements	-0.9	eV per formula unit
calculated volume	60.4	Å³ per cell
E	-10.75	eV/atom



This record from Alexandria describes Li12Mg3Hg after structural relaxation. The functional is PBE.

Lattice parameters (Å, degrees): 4.209 4.209 17.607 90.00 90.00 90.00
Fractional positions:
Li (0.500, 0.500, 0.000)
Li (0.500, 0.500, 0.242)
Li (0.500, 0.500, 0.500)
Li (0.500, 0.500, 0.758)
Li (0.500, 0.000, 0.114)
Li (0.500, 0.000, 0.371)
Li (0.500, 0.000, 0.629)
Li (0.500, 0.000, 0.886)
Li (0.000, 0.500, 0.114)
Li (0.000, 0.500, 0.371)
Li (0.000, 0.500, 0.629)
Li (0.000, 0.500, 0.886)
Mg (0.000, 0.000, 0.243)
Mg (0.000, 0.000, 0.500)
Mg (0.000, 0.000, 0.757)
Hg (0.000, 0.000, 0.000)

space group	P4/mmm
energy of formation from the pure elements	-1.4	eV per formula unit
calculated volume	311.9	Å³ per cell
E	-1.84	eV/atom



This record from Alexandria describes TaH3Br after structural relaxation. The functional is PBE.

Lattice parameters (Å, degrees): 3.784 3.784 3.784 90.00 90.00 90.00
Fractional positions:
H (0.000, 0.500, 0.000)
H (0.000, 0.000, 0.500)
H (0.500, 0.000, 0.000)
Br (0.500, 0.500, 0.500)
Ta (0.000, 0.000, 0.000)

space group	Pm-3m
relative energy among the computed polymorphs	0.0000	eV per atom
calculated volume	54.2	Å³ per cell
E	-4.32	eV/atom



This record from Alexandria describes Ce5Sb4Te after structural relaxation. The functional is PBE.

Lattice parameters (Å, degrees): 6.366 7.802 7.802 80.42 65.92 65.92
Fractional positions:
Ce (0.901, 0.403, 0.798)
Ce (0.303, 0.798, 0.597)
Ce (0.699, 0.202, 0.403)
Ce (0.101, 0.597, 0.202)
Ce (0.502, 0.000, 0.000)
Sb (0.400, 0.400, 0.802)
Sb (0.800, 0.802, 0.600)
Sb (0.202, 0.198, 0.400)
Sb (0.602, 0.600, 0.198)
Te (0.001, 0.000, 0.000)

space group	I4/m
uncorrected formation energy	-1121	meV per atom
relative energy among the computed polymorphs	0.0000	eV per atom
calculated volume	323.0	Å³ per cell
E	-6.05	eV/atom



This record from Alexandria describes ZnAg2BO after structural relaxation. The functional is PBE.

Lattice parameters (Å, degrees): 5.106 3.508 5.106 90.00 90.00 90.00
Fractional positions:
Zn (0.000, 0.000, 0.000)
B (0.500, 0.500, 0.500)
O (0.000, 0.500, 0.000)
Ag (0.000, 0.000, 0.500)
Ag (0.500, 0.000, 0.000)

space group	P4/mmm
uncorrected formation energy	952	meV per atom
calculated volume	91.4	Å³ per cell
E	-2.77	eV/atom



This record from Alexandria describes KNaTl2 after structural relaxation. The functional is PBE.

Lattice parameters (Å, degrees): 3.729 3.729 11.519 80.69 80.69 60.00
Fractional positions:
Na (0.000, 0.000, 0.000)
Tl (0.744, 0.744, 0.768)
Tl (0.256, 0.256, 0.232)
K (0.500, 0.500, 0.500)

space group	R-3m
relative energy among the computed polymorphs	0.0665	eV per atom
energy of formation from the pure elements	0.0	eV per formula unit
calculated volume	136.3	Å³ per cell
E	-1.79	eV/atom



This record from Alexandria describes BaNa3Hg after structural relaxation. The functional is PBE.

Lattice parameters (Å, degrees): 7.618 7.618 7.618 90.00 90.00 90.00
Fractional positions:
Na (0.000, 0.500, 0.000)
Na (0.000, 0.000, 0.500)
Na (0.500, 0.000, 0.000)
Hg (0.500, 0.500, 0.500)
Ba (0.000, 0.000, 0.000)

space group	Pm-3m
relative energy among the computed polymorphs	0.7268	eV per atom
energy of formation from the pure elements	2.8	eV per formula unit
calculated volume	442.1	Å³ per cell
E	-0.67	eV/atom



This record from Alexandria describes K3Na2TiF9 after structural relaxation. The functional is PBE.

Lattice parameters (Å, degrees): 6.096 6.096 7.579 90.00 90.00 120.00
Fractional positions:
K (0.333, 0.667, 0.747)
K (0.000, 0.000, 0.000)
K (0.667, 0.333, 0.253)
Na (0.333, 0.667, 0.174)
Na (0.667, 0.333, 0.826)
Ti (0.000, 0.000, 0.500)
F (0.854, 0.146, 0.645)
F (0.854, 0.707, 0.645)
F (0.293, 0.146, 0.645)
F (0.707, 0.854, 0.355)
F (0.146, 0.293, 0.355)
F (0.146, 0.854, 0.355)
F (0.500, 0.000, 0.000)
F (0.000, 0.500, 0.000)
F (0.500, 0.500, 0.000)

space group	P-3m1
uncorrected formation energy	-3022	meV per atom
calculated volume	243.9	Å³ per cell
E	-5.07	eV/atom



This record from Alexandria describes MgH2 after structural relaxation. The functional is PBE.

Lattice parameters (Å, degrees): 3.339 3.339 3.339 60.00 60.00 60.00
Fractional positions:
H (0.750, 0.750, 0.750)
H (0.250, 0.250, 0.250)
Mg (0.000, 0.000, 0.000)

space group	Fm-3m
calculated volume	26.3	Å³ per cell
E	-2.86	eV/atom



Sequential total magnetization output: 0.46, 0.00, 0.90, 0.00, 0.00, 0.00, 4.74, 0.00, 0.00, 1.00, 0.00, 0.00 μB per formula unit